! Ca2YF8, optimized geometry, DFT PBE; values from VASP
! E_form (uncorrected) in eV per atom: -3.523
! M_tot in μB per formula unit: 0.97
! Calculated density in Mg/m³: 3.9
! Space-group type: Immm
&SYSTEM
  ibrav = 0, nat = 11, ntyp = 3
/
ATOMIC_SPECIES
Y 88.91 Y.upf
F 19.00 F.upf
Ca 40.08 Ca.upf
CELL_PARAMETERS angstrom
3.725 0.000 -1.134
-0.897 5.191 -2.948
0.033 0.355 6.796
ATOMIC_POSITIONS crystal
Y 0.500 0.000 0.000
F 0.887 0.887 0.774
F 0.659 0.422 0.318
F 0.000 0.667 0.000
F 0.000 0.333 0.000
F 0.113 0.113 0.226
F 0.341 0.104 0.682
F 0.659 0.896 0.318
F 0.341 0.578 0.682
Ca 0.186 0.686 0.372
Ca 0.814 0.314 0.628

! CaYF3, optimized geometry, DFT PBE; values from VASP
! E_form (uncorrected) in eV per atom: -2.659
! Excess energy over the best structure of this formula in the dataset in eV per atom: 0.103
! M_tot in μB per formula unit: 1.51
! Calculated density in Mg/m³: 3.4
! Space-group type: Pm-3m
&SYSTEM
  ibrav = 0, nat = 5, ntyp = 3
/
ATOMIC_SPECIES
F 19.00 F.upf
Y 88.91 Y.upf
Ca 40.08 Ca.upf
CELL_PARAMETERS angstrom
4.494 0.000 0.000
0.000 4.494 0.000
0.000 0.000 4.494
ATOMIC_POSITIONS crystal
F 0.500 0.000 0.000
F 0.000 0.000 0.500
F 0.000 0.500 0.000
Y 0.500 0.500 0.500
Ca 0.000 0.000 0.000

! CaYF2, optimized geometry, DFT PBE; values from VASP
! E_form (uncorrected) in eV per atom: -1.639
! Excess energy over the best structure of this formula in the dataset in eV per atom: 1.084
! M_tot in μB per formula unit: 2.46
! Calculated density in Mg/m³: 3.7
! Space-group type: Fm-3m
&SYSTEM
  ibrav = 0, nat = 4, ntyp = 3
/
ATOMIC_SPECIES
F 19.00 F.upf
Y 88.91 Y.upf
Ca 40.08 Ca.upf
CELL_PARAMETERS angstrom
0.818 -0.325 4.632
-3.060 1.855 3.070
-2.665 -2.827 2.672
ATOMIC_POSITIONS crystal
F 0.750 0.750 0.750
F 0.250 0.250 0.250
Y 0.500 0.500 0.500
Ca 0.000 0.000 0.000

! Ca3YF, optimized geometry, DFT PBE; values from VASP
! E_form (uncorrected) in eV per atom: -0.910
! Excess energy over the best structure of this formula in the dataset in eV per atom: 0.000
! M_tot in μB per formula unit: 1.19
! Calculated density in Mg/m³: 2.5
! Space-group type: Pm-3m
&SYSTEM
  ibrav = 0, nat = 5, ntyp = 3
/
ATOMIC_SPECIES
Y 88.91 Y.upf
Ca 40.08 Ca.upf
F 19.00 F.upf
CELL_PARAMETERS angstrom
-1.552 -4.367 -2.578
3.061 1.343 -4.117
4.043 -2.693 2.128
ATOMIC_POSITIONS crystal
Y 0.500 0.500 0.500
Ca 0.500 0.000 0.000
Ca 0.000 0.000 0.500
Ca 0.000 0.500 0.000
F 0.000 0.000 0.000

! CaYF5, optimized geometry, DFT PBE; values from VASP
! E_form (uncorrected) in eV per atom: -3.943
! M_tot in μB per formula unit: 0.00
! Calculated density in Mg/m³: 3.9
! Space-group type: C2/c
&SYSTEM
  ibrav = 0, nat = 14, ntyp = 3
/
ATOMIC_SPECIES
Ca 40.08 Ca.upf
F 19.00 F.upf
Y 88.91 Y.upf
CELL_PARAMETERS angstrom
-0.244 -4.171 2.670
4.634 0.472 1.701
-2.852 4.200 5.770
ATOMIC_POSITIONS crystal
Ca 0.000 0.000 0.000
Ca 0.000 0.000 0.500
F 0.736 0.598 0.505
F 0.370 0.938 0.676
F 0.630 0.062 0.324
F 0.820 0.180 0.750
F 0.598 0.736 0.005
F 0.402 0.264 0.995
F 0.264 0.402 0.495
F 0.180 0.820 0.250
F 0.062 0.630 0.824
F 0.938 0.370 0.176
Y 0.513 0.487 0.250
Y 0.487 0.513 0.750

! CaYF2, optimized geometry, DFT PBE; values from VASP
! E_form (uncorrected) in eV per atom: -2.424
! Excess energy over the best structure of this formula in the dataset in eV per atom: 0.299
! M_tot in μB per formula unit: 2.00
! Calculated density in Mg/m³: 3.3
! Space-group type: I-42d
&SYSTEM
  ibrav = 0, nat = 8, ntyp = 3
/
ATOMIC_SPECIES
Y 88.91 Y.upf
Ca 40.08 Ca.upf
F 19.00 F.upf
CELL_PARAMETERS angstrom
-4.451 -2.836 -1.757
2.817 -4.764 0.556
-2.581 -4.239 4.576
ATOMIC_POSITIONS crystal
Y 0.750 0.250 0.500
Y 0.000 0.000 0.000
Ca 0.500 0.500 0.000
Ca 0.250 0.750 0.500
F 0.611 0.125 0.250
F 0.875 0.861 0.750
F 0.375 0.389 0.750
F 0.139 0.625 0.250

! CaYF3, optimized geometry, DFT PBE; values from VASP
! E_form (uncorrected) in eV per atom: -2.762
! Excess energy over the best structure of this formula in the dataset in eV per atom: 0.000
! M_tot in μB per formula unit: 0.00
! Calculated density in Mg/m³: 3.1
! Space-group type: Pm-3m
&SYSTEM
  ibrav = 0, nat = 5, ntyp = 3
/
ATOMIC_SPECIES
F 19.00 F.upf
Ca 40.08 Ca.upf
Y 88.91 Y.upf
CELL_PARAMETERS angstrom
4.615 0.000 0.000
0.000 4.615 0.000
0.000 0.000 4.615
ATOMIC_POSITIONS crystal
F 0.500 0.000 0.000
F 0.000 0.500 0.000
F 0.000 0.000 0.500
Ca 0.500 0.500 0.500
Y 0.000 0.000 0.000

! CaYF4, optimized geometry, DFT PBE; values from VASP
! E_form (uncorrected) in eV per atom: -3.573
! M_tot in μB per formula unit: 0.79
! Calculated density in Mg/m³: 3.4
! Space-group type: I4_1md
&SYSTEM
  ibrav = 0, nat = 12, ntyp = 3
/
ATOMIC_SPECIES
F 19.00 F.upf
Y 88.91 Y.upf
Ca 40.08 Ca.upf
CELL_PARAMETERS angstrom
-0.362 6.313 -1.017
-4.207 -1.381 4.627
5.929 -1.686 1.741
ATOMIC_POSITIONS crystal
F 0.681 0.493 0.188
F 0.304 0.493 0.812
F 0.758 0.446 0.688
F 0.243 0.931 0.688
F 0.243 0.554 0.312
F 0.758 0.070 0.312
F 0.820 0.008 0.812
F 0.196 0.008 0.188
Y 0.492 0.992 0.500
Y 0.742 0.742 0.000
Ca 0.256 0.256 0.000
Ca 0.006 0.506 0.500

! Ca3YF, optimized geometry, DFT PBE; values from VASP
! E_form (uncorrected) in eV per atom: 0.482
! Excess energy over the best structure of this formula in the dataset in eV per atom: 1.393
! M_tot in μB per formula unit: 4.65
! Calculated density in Mg/m³: 1.5
! Space-group type: Pm-3m
&SYSTEM
  ibrav = 0, nat = 5, ntyp = 3
/
ATOMIC_SPECIES
F 19.00 F.upf
Y 88.91 Y.upf
Ca 40.08 Ca.upf
CELL_PARAMETERS angstrom
-4.866 0.820 -3.931
-3.973 -1.887 4.523
-0.588 5.964 1.972
ATOMIC_POSITIONS crystal
F 0.500 0.500 0.500
Y 0.000 0.000 0.000
Ca 0.000 0.500 0.000
Ca 0.000 0.000 0.500
Ca 0.500 0.000 0.000

! CaZn2F7, optimized geometry, DFT PBE; values from VASP
! E_form (uncorrected) in eV per atom: -2.427
! M_tot in μB per formula unit: 0.86
! Calculated density in Mg/m³: 3.9
! Space-group type: Cmmm
&SYSTEM
  ibrav = 0, nat = 10, ntyp = 3
/
ATOMIC_SPECIES
Zn 65.41 Zn.upf
F 19.00 F.upf
Ca 40.08 Ca.upf
CELL_PARAMETERS angstrom
-2.653 1.757 2.073
-3.928 -0.566 -4.546
-0.206 -4.728 3.744
ATOMIC_POSITIONS crystal
Zn 0.500 0.698 0.302
Zn 0.500 0.302 0.698
F 0.000 0.273 0.727
F 0.500 0.500 0.500
F 0.500 0.308 0.052
F 0.500 0.948 0.692
F 0.000 0.727 0.273
F 0.500 0.052 0.308
F 0.500 0.692 0.948
Ca 0.000 0.000 0.000

! CaZn2F, optimized geometry, DFT PBE; values from VASP
! E_form (uncorrected) in eV per atom: -0.505
! Excess energy over the best structure of this formula in the dataset in eV per atom: 0.569
! M_tot in μB per formula unit: 0.00
! Calculated density in Mg/m³: 3.7
! Space-group type: Fm-3m
&SYSTEM
  ibrav = 0, nat = 4, ntyp = 3
/
ATOMIC_SPECIES
F 19.00 F.upf
Ca 40.08 Ca.upf
Zn 65.41 Zn.upf
CELL_PARAMETERS angstrom
0.000 3.481 3.481
3.481 0.000 3.481
3.481 3.481 0.000
ATOMIC_POSITIONS crystal
F 0.000 0.000 0.000
Ca 0.500 0.500 0.500
Zn 0.250 0.250 0.250
Zn 0.750 0.750 0.750

! CaZn4F8, optimized geometry, DFT PBE; values from VASP
! E_form (uncorrected) in eV per atom: -2.204
! M_tot in μB per formula unit: 0.00
! Calculated density in Mg/m³: 3.6
! Space-group type: F-43m
&SYSTEM
  ibrav = 0, nat = 13, ntyp = 3
/
ATOMIC_SPECIES
F 19.00 F.upf
Zn 65.41 Zn.upf
Ca 40.08 Ca.upf
CELL_PARAMETERS angstrom
6.634 0.000 0.000
3.317 5.745 0.000
3.317 1.915 5.417
ATOMIC_POSITIONS crystal
F 0.144 0.567 0.144
F 0.614 0.158 0.614
F 0.614 0.614 0.614
F 0.158 0.614 0.614
F 0.144 0.144 0.567
F 0.144 0.144 0.144
F 0.614 0.614 0.158
F 0.567 0.144 0.144
Zn 0.372 0.372 0.885
Zn 0.372 0.372 0.372
Zn 0.885 0.372 0.372
Zn 0.372 0.885 0.372
Ca 0.750 0.750 0.750